# 1
NaSmTlPd: relaxed, PBE.

Geometry as POSCAR:
```
NaSmTlPd
1.0
-4.921 1.490 0.057
-3.315 -2.201 3.258
-1.833 2.668 3.996
Na Tl Pd Sm
1 1 1 1
Cartesian
0.000 0.000 0.000 Na
-7.552 1.468 5.483 Tl
-2.517 0.489 1.828 Pd
-5.035 0.979 3.655 Sm
```

The calculation puts the formation energy from the elements at -0.28 eV/atom. As for the space-group type: No. 216.

# 2
NaSn4Pd4: relaxed, PBE.

Geometry as POSCAR:
```
NaSn4Pd4
1.0
5.155 0.000 0.000
0.000 9.200 0.000
0.000 0.000 9.200
Na Sn Pd
2 8 8
Cartesian
0.000 0.000 0.000 Na
2.578 4.600 4.600 Na
2.575 3.476 8.129 Sn
5.152 5.671 8.076 Sn
2.575 5.724 1.071 Sn
0.003 1.124 5.671 Sn
2.580 8.129 5.724 Sn
0.003 8.076 3.529 Sn
5.152 3.529 1.124 Sn
2.580 1.071 3.476 Sn
2.580 7.542 2.994 Pd
2.580 1.658 6.206 Pd
0.003 7.594 6.258 Pd
5.152 2.942 7.594 Pd
5.152 6.258 1.606 Pd
2.575 2.994 1.658 Pd
2.575 6.206 7.542 Pd
0.003 1.606 2.942 Pd
```

The calculation puts the formation energy from the elements at -0.41 eV/atom. As for the space-group type: No. 87.

# 3
Na3Sn2Pd4: relaxed, PBE.

Geometry as POSCAR:
```
Na3Sn2Pd4
1.0
4.479 0.000 0.000
-2.239 5.128 0.241
0.000 -1.855 8.675
Na Sn Pd
3 2 4
Cartesian
0.000 2.651 5.400 Na
0.000 0.000 0.000 Na
2.239 0.622 3.516 Na
0.000 2.913 2.103 Sn
2.239 0.359 6.813 Sn
2.239 2.146 0.861 Pd
0.000 -0.363 5.590 Pd
2.239 3.636 3.326 Pd
0.000 1.127 8.055 Pd
```

The calculation puts the formation energy from the elements at -0.32 eV/atom. As for the space-group type: No. 12.

# 4
NaSn3Pd3: relaxed, PBE.

Geometry as POSCAR:
```
NaSn3Pd3
1.0
-1.795 2.377 6.767
-7.027 -1.977 -1.170
1.433 -6.716 2.739
Na Sn Pd
2 6 6
Cartesian
-3.695 -3.158 4.168 Na
0.000 0.000 0.000 Na
0.268 -2.764 3.061 Sn
-3.155 -2.667 0.100 Sn
-6.168 -0.294 2.506 Sn
-0.630 -1.575 6.445 Sn
-2.439 -6.025 1.470 Sn
-2.654 0.694 3.091 Sn
-1.040 -3.852 1.077 Pd
-4.554 -4.840 0.492 Pd
0.177 -3.848 5.438 Pd
-4.860 0.794 4.490 Pd
-0.539 -0.490 4.068 Pd
-3.962 -0.394 1.107 Pd
```

The calculation puts the formation energy from the elements at -0.15 eV/atom. As for the space-group type: No. 223.

# 5
NaSn3Pd: relaxed, PBE.

Geometry as POSCAR:
```
NaSn3Pd
1.0
-2.711 4.482 0.746
-4.284 -2.811 1.319
1.513 0.072 5.069
Na Sn Pd
1 3 1
Cartesian
-2.741 0.872 3.567 Na
-2.142 -1.405 0.659 Sn
0.757 0.036 2.535 Sn
-1.355 2.241 0.373 Sn
0.000 0.000 0.000 Pd
```

The calculation puts the formation energy from the elements at -0.02 eV/atom. As for the space-group type: No. 221.

# 6
NaSn5Pd4: relaxed, PBE.

Geometry as POSCAR:
```
NaSn5Pd4
1.0
-0.848 4.483 0.917
-6.202 -0.654 -2.538
-1.580 -3.910 5.842
Na Sn Pd
1 5 4
Cartesian
-0.424 2.242 0.459 Na
-0.705 -0.552 2.046 Sn
-3.775 -0.899 0.903 Sn
-4.855 0.818 3.318 Sn
-3.525 1.915 -0.810 Sn
-7.925 0.472 2.175 Sn
-5.747 1.193 0.664 Pd
-1.618 -0.171 -0.662 Pd
-2.882 -1.273 3.557 Pd
-7.012 0.090 4.883 Pd
```

The calculation puts the formation energy from the elements at -0.39 eV/atom. As for the space-group type: No. 12.

Number 1: size of the total moment 0.00 μB per formula unit. Number 2: size of the total moment 0.00 μB per formula unit. Number 3: size of the total moment 0.00 μB per formula unit. Number 4: size of the total moment 0.00 μB per formula unit. Number 5: size of the total moment 0.00 μB per formula unit. Number 6: size of the total moment 0.00 μB per formula unit.